Material: Pm4AsIrS2
Method: DFT, GGA-PBE
State: optimized geometry

Summary:
* ΔE_f (raw): -1.4797 eV per atom
* Fermi-level density of states: 0.80 states/eV per atom

Cell: 5.839 5.839 11.704 Å, 90.00 90.00 90.00°
Fractional coordinates of all 16 atoms:
Pm 0.000 0.000 0.246
Pm 0.000 0.000 0.754
Pm 0.000 0.500 0.000
Pm 0.000 0.500 0.500
Pm 0.500 0.000 0.000
Pm 0.500 0.000 0.500
Pm 0.500 0.500 0.254
Pm 0.500 0.500 0.746
As 0.000 0.000 0.500
As 0.500 0.500 0.000
Ir 0.000 0.000 0.000
Ir 0.500 0.500 0.500
S 0.000 0.500 0.250
S 0.000 0.500 0.750
S 0.500 0.000 0.250
S 0.500 0.000 0.750

Material: Pm6AsIr2Se3
Method: DFT, GGA-PBE
State: optimized geometry

Summary:
* ΔE_f (raw): -1.3830 eV per atom
* Fermi-level density of states: 0.43 states/eV per atom

Cell: 9.520 9.520 8.596 Å, 105.33 105.33 25.19°
Fractional coordinates of all 12 atoms:
Pm 0.009 0.009 0.249
Pm 0.328 0.328 0.426
Pm 0.333 0.333 0.893
Pm 0.667 0.667 0.107
Pm 0.672 0.672 0.574
Pm 0.991 0.991 0.751
As 0.500 0.500 0.000
Ir 0.168 0.168 0.337
Ir 0.832 0.832 0.663
Se 0.162 0.162 0.839
Se 0.500 0.500 0.500
Se 0.838 0.838 0.161

Material: Pm6Te3As2Ir
Method: DFT, GGA-PBE
State: optimized geometry

Summary:
* ΔE_f (raw): -1.3604 eV per atom
* Fermi-level density of states: 0.64 states/eV per atom

Cell: 9.795 9.795 8.863 Å, 104.42 104.42 25.26°
Fractional coordinates of all 12 atoms:
Pm 0.005 0.005 0.223
Pm 0.328 0.328 0.432
Pm 0.345 0.345 0.905
Pm 0.655 0.655 0.095
Pm 0.672 0.672 0.568
Pm 0.995 0.995 0.777
Te 0.171 0.171 0.833
Te 0.500 0.500 0.500
Te 0.829 0.829 0.167
As 0.167 0.167 0.336
As 0.833 0.833 0.664
Ir 0.500 0.500 0.000

Material: Pm2TiAs3Ir4
Method: DFT, GGA-PBE
State: optimized geometry

Summary:
* formation energy: -0.81 eV/atom
* Fermi-level density of states: 0.64 states/eV per atom

Cell: 4.135 4.135 10.817 Å, 90.00 90.00 90.00°
Fractional coordinates of all 10 atoms:
Pm 0.000 0.500 0.237
Pm 0.500 0.000 0.763
Ti 0.000 0.000 0.500
As 0.000 0.500 0.863
As 0.500 0.000 0.137
As 0.500 0.500 0.500
Ir 0.000 0.000 0.000
Ir 0.000 0.500 0.637
Ir 0.500 0.000 0.363
Ir 0.500 0.500 0.000

Material: Pm2ZnAs3Ir4
Method: DFT, GGA-PBE
State: optimized geometry

Summary:
* formation energy: -0.71 eV/atom
* Fermi-level density of states: 0.41 states/eV per atom

Cell: 4.197 4.197 10.422 Å, 90.00 90.00 90.00°
Fractional coordinates of all 10 atoms:
Pm 0.000 0.500 0.247
Pm 0.500 0.000 0.753
Zn 0.500 0.500 0.000
As 0.000 0.000 0.000
As 0.000 0.500 0.637
As 0.500 0.000 0.363
Ir 0.000 0.000 0.500
Ir 0.000 0.500 0.866
Ir 0.500 0.000 0.134
Ir 0.500 0.500 0.500

Material: Pm2ZnAs4Ir3
Method: DFT, GGA-PBE
State: optimized geometry

Summary:
* formation energy: -0.68 eV/atom
* Fermi-level density of states: 0.50 states/eV per atom

Cell: 4.328 4.328 10.130 Å, 90.00 90.00 90.00°
Fractional coordinates of all 10 atoms:
Pm 0.000 0.500 0.244
Pm 0.500 0.000 0.756
Zn 0.000 0.000 0.500
As 0.000 0.000 0.000
As 0.000 0.500 0.639
As 0.500 0.000 0.361
As 0.500 0.500 0.000
Ir 0.000 0.500 0.881
Ir 0.500 0.000 0.119
Ir 0.500 0.500 0.500

Material: PrAsIr
Method: DFT, GGA-PBE
State: optimized geometry

Summary:
* formation energy: -0.71 eV/atom
* Fermi-level density of states: 0.57 states/eV per atom

Cell: 10.025 6.177 5.577 Å, 90.00 123.70 90.00°
Fractional coordinates of all 12 atoms:
Pr 0.250 0.250 0.000
Pr 0.250 0.750 0.500
Pr 0.750 0.250 0.500
Pr 0.750 0.750 0.000
As 0.000 0.167 0.250
As 0.000 0.833 0.750
As 0.500 0.333 0.750
As 0.500 0.667 0.250
Ir 0.000 0.500 0.000
Ir 0.000 0.500 0.500
Ir 0.500 0.000 0.000
Ir 0.500 0.000 0.500

Material: PrAsIr
Method: DFT, GGA-PBE
State: optimized geometry

Summary:
* formation energy: -0.91 eV/atom
* Fermi-level density of states: 0.64 states/eV per atom

Cell: 4.286 4.286 4.157 Å, 90.00 90.00 120.00°
Fractional coordinates of all 3 atoms:
Pr 0.000 0.000 0.000
As 0.667 0.333 0.500
Ir 0.333 0.667 0.500

Which spin magnetization belongs to each record? In order, 0.000; 0.000; 0.000; 0.000; 0.000; 0.000; 0.000; 0.000 μB per cell.